1.
DFT (GGA-PBE) results for a relaxed structure of Ac2TbAg.

```
data_Ac2TbAg
_chemical_formula_sum 'Ac2 Tb1 Ag1'
_symmetry_space_group_name_H-M 'P 1'
_symmetry_Int_Tables_number 1
_cell_length_a 3.9360
_cell_length_b 3.9360
_cell_length_c 9.0650
_cell_angle_alpha 90.00
_cell_angle_beta 90.00
_cell_angle_gamma 90.00
loop_
_symmetry_equiv_pos_as_xyz
'x,y,z'
loop_
_atom_site_label
_atom_site_fract_x
_atom_site_fract_y
_atom_site_fract_z
Tb1 0.5000 0.5000 0.5000
Ag1 0.5000 0.5000 0.0000
Ac1 0.0000 0.0000 0.7805
Ac2 0.0000 0.0000 0.2195
```

ΔH_f (0 K)	-0.083	eV/atom
symmetry	P4/mmm, No. 123
polymorph energy (0 for the lowest one)	0	meV/atom
magnetization	0.000	μB/atom

2.
DFT (GGA-PBE) results for a relaxed structure of AcTb4Ag5.

```
data_AcTb4Ag5
_chemical_formula_sum 'Ac1 Tb4 Ag5'
_symmetry_space_group_name_H-M 'P 1'
_symmetry_Int_Tables_number 1
_cell_length_a 3.6890
_cell_length_b 3.6890
_cell_length_c 18.7966
_cell_angle_alpha 90.00
_cell_angle_beta 90.00
_cell_angle_gamma 90.00
loop_
_symmetry_equiv_pos_as_xyz
'x,y,z'
loop_
_atom_site_label
_atom_site_fract_x
_atom_site_fract_y
_atom_site_fract_z
Ag1 0.5000 0.5000 0.8813
Ag2 0.5000 0.5000 0.5000
Tb1 0.0000 0.0000 0.7905
Ag3 0.5000 0.5000 0.1187
Tb2 0.0000 0.0000 0.5967
Ag4 0.5000 0.5000 0.3062
Ac1 0.0000 0.0000 0.0000
Ag5 0.5000 0.5000 0.6938
Tb3 0.0000 0.0000 0.2095
Tb4 0.0000 0.0000 0.4033
```

ΔH_f (0 K)	-0.296	eV/atom
symmetry	P4/mmm, No. 123
magnetization	0.000	μB/atom

3.
DFT (GGA-PBE) results for a relaxed structure of AcTbAg4.

```
data_AcTbAg4
_chemical_formula_sum 'Ac1 Tb1 Ag4'
_symmetry_space_group_name_H-M 'P 1'
_symmetry_Int_Tables_number 1
_cell_length_a 5.8601
_cell_length_b 5.8601
_cell_length_c 5.8601
_cell_angle_alpha 60.00
_cell_angle_beta 60.00
_cell_angle_gamma 60.00
loop_
_symmetry_equiv_pos_as_xyz
'x,y,z'
loop_
_atom_site_label
_atom_site_fract_x
_atom_site_fract_y
_atom_site_fract_z
Ag1 0.6259 0.1224 0.6259
Ag2 0.6259 0.6259 0.1224
Ac1 0.2500 0.2500 0.2500
Ag3 0.1224 0.6259 0.6259
Tb1 0.0000 0.0000 0.0000
Ag4 0.6259 0.6259 0.6259
```

ΔH_f (0 K)	-0.142	eV/atom
symmetry	F-43m, No. 216
polymorph energy (0 for the lowest one)	145	meV/atom
magnetization	0.000	μB/atom

4.
DFT (GGA-PBE) results for a relaxed structure of AcTbAg.

```
data_AcTbAg
_chemical_formula_sum 'Ac1 Tb1 Ag1'
_symmetry_space_group_name_H-M 'P 1'
_symmetry_Int_Tables_number 1
_cell_length_a 4.0943
_cell_length_b 5.2015
_cell_length_c 5.2015
_cell_angle_alpha 120.00
_cell_angle_beta 90.00
_cell_angle_gamma 90.00
loop_
_symmetry_equiv_pos_as_xyz
'x,y,z'
loop_
_atom_site_label
_atom_site_fract_x
_atom_site_fract_y
_atom_site_fract_z
Tb1 0.5014 0.6667 0.3333
Ag1 0.4978 0.3333 0.6667
Ac1 0.0008 0.0000 0.0000
```

ΔH_f (0 K)	-0.019	eV/atom
symmetry	P3m1, No. 156
polymorph energy (0 for the lowest one)	137	meV/atom
magnetization	0.000	μB/atom

5.
DFT (GGA-PBE) results for a relaxed structure of AcTbAg.

```
data_AcTbAg
_chemical_formula_sum 'Ac1 Tb1 Ag1'
_symmetry_space_group_name_H-M 'P 1'
_symmetry_Int_Tables_number 1
_cell_length_a 3.8112
_cell_length_b 3.8112
_cell_length_c 7.0363
_cell_angle_alpha 105.71
_cell_angle_beta 105.71
_cell_angle_gamma 90.00
loop_
_symmetry_equiv_pos_as_xyz
'x,y,z'
loop_
_atom_site_label
_atom_site_fract_x
_atom_site_fract_y
_atom_site_fract_z
Ac1 0.0123 0.0123 0.0246
Ag1 0.6843 0.6843 0.3687
Tb1 0.3034 0.3034 0.6067
```

ΔH_f (0 K)	-0.140	eV/atom
symmetry	I4mm, No. 107
polymorph energy (0 for the lowest one)	16	meV/atom
magnetization	0.019	μB/atom

6.
DFT (GGA-PBE) results for a relaxed structure of Ac2TbAg.

```
data_Ac2TbAg
_chemical_formula_sum 'Ac2 Tb1 Ag1'
_symmetry_space_group_name_H-M 'P 1'
_symmetry_Int_Tables_number 1
_cell_length_a 5.7912
_cell_length_b 5.7912
_cell_length_c 5.7912
_cell_angle_alpha 60.00
_cell_angle_beta 60.00
_cell_angle_gamma 60.00
loop_
_symmetry_equiv_pos_as_xyz
'x,y,z'
loop_
_atom_site_label
_atom_site_fract_x
_atom_site_fract_y
_atom_site_fract_z
Ag1 0.5000 0.5000 0.5000
Tb1 0.0000 0.0000 0.0000
Ac1 0.7500 0.7500 0.7500
Ac2 0.2500 0.2500 0.2500
```

ΔH_f (0 K)	0.076	eV/atom
symmetry	Fm-3m, No. 225
polymorph energy (0 for the lowest one)	159	meV/atom
magnetization	0.000	μB/atom